Record 1
Material: HfFe2AuI
Method: DFT, GGA-PBE
State: relaxed

D(E_F) = 0.917 states/eV/atom
Theoretical density = 8.038 g/cm³
VASP energy = -5.015 eV per atom

```
data_HfFe2AuI
_cell_length_a 4.8145
_cell_length_b 5.4726
_cell_length_c 4.8145
_cell_angle_alpha 90.00
_cell_angle_beta 90.00
_cell_angle_gamma 90.00
_space_group_name_H-M_alt 'P 1'
_space_group_IT_number 1
loop_
_space_group_symop_operation_xyz
'x,y,z'
loop_
_atom_site_label
_atom_site_type_symbol
_atom_site_fract_x
_atom_site_fract_y
_atom_site_fract_z
Au1 Au 0.5000 0.5000 0.5000
Hf1 Hf 0.0000 0.0000 0.0000
I1 I 0.0000 0.5000 0.0000
Fe1 Fe 0.5000 0.0000 0.0000
Fe2 Fe 0.0000 0.0000 0.5000
```

---

Record 2
Material: Co2TcMo
Method: DFT, GGA-PBE
State: relaxed

D(E_F) = 1.098 states/eV/atom
Theoretical density = 9.988 g/cm³
ΔE_f = 109.8 meV/atom
VASP energy = -8.742 eV per atom

```
data_Co2TcMo
_cell_length_a 2.6515
_cell_length_b 2.6515
_cell_length_c 7.3741
_cell_angle_alpha 90.00
_cell_angle_beta 90.00
_cell_angle_gamma 90.02
_space_group_name_H-M_alt 'P 1'
_space_group_IT_number 1
loop_
_space_group_symop_operation_xyz
'x,y,z'
loop_
_atom_site_label
_atom_site_type_symbol
_atom_site_fract_x
_atom_site_fract_y
_atom_site_fract_z
Tc1 Tc 0.5000 0.5000 0.7795
Mo1 Mo 0.0000 0.0000 0.4759
Co1 Co 0.5000 0.5000 0.2341
Co2 Co 0.0000 0.0000 0.0105
```

---

Record 3
Material: Sm11Ga9Co4
Method: DFT, GGA-PBE
State: relaxed

D(E_F) = 0.745 states/eV/atom
Theoretical density = 7.828 g/cm³
ΔE_f = -466.4 meV/atom
VASP energy = -4.949 eV per atom

```
data_Sm11Ga9Co4
_cell_length_a 3.6645
_cell_length_b 12.5539
_cell_length_c 12.5539
_cell_angle_alpha 112.40
_cell_angle_beta 90.00
_cell_angle_gamma 90.00
_space_group_name_H-M_alt 'P 1'
_space_group_IT_number 1
loop_
_space_group_symop_operation_xyz
'x,y,z'
loop_
_atom_site_label
_atom_site_type_symbol
_atom_site_fract_x
_atom_site_fract_y
_atom_site_fract_z
Sm1 Sm 0.0000 0.8307 0.1693
Sm2 Sm 0.0000 0.0735 0.4141
Sm3 Sm 0.0000 0.3758 0.6242
Sm4 Sm 0.0000 0.6883 0.6883
Sm5 Sm 0.0000 0.4141 0.0735
Sm6 Sm 0.0000 0.5859 0.9265
Sm7 Sm 0.0000 0.9265 0.5859
Sm8 Sm 0.0000 0.6242 0.3758
Sm9 Sm 0.0000 0.0000 0.0000
Sm10 Sm 0.0000 0.3117 0.3117
Sm11 Sm 0.0000 0.1693 0.8307
Co1 Co 0.5000 0.5545 0.7596
Co2 Co 0.5000 0.2404 0.4455
Co3 Co 0.5000 0.7596 0.5545
Co4 Co 0.5000 0.4455 0.2404
Ga1 Ga 0.5000 0.9153 0.7787
Ga2 Ga 0.5000 0.8297 0.3712
Ga3 Ga 0.5000 0.6288 0.1703
Ga4 Ga 0.5000 0.7787 0.9153
Ga5 Ga 0.5000 0.2213 0.0847
Ga6 Ga 0.5000 0.5000 0.5000
Ga7 Ga 0.5000 0.1703 0.6288
Ga8 Ga 0.5000 0.0847 0.2213
Ga9 Ga 0.5000 0.3712 0.8297
```

---

- Among the records above, which one has the lowest VASP energy?
  Co2TcMo